w.
Compound: TbEr4Th
Source: Alexandria
Functional: PBE
Structure: optimized geometry

Geometry as CIF:
```
data_TbEr4Th
_chemical_formula_sum 'Tb4 Er16 Th4'
_cell_length_a 8.737
_cell_length_b 14.415
_cell_length_c 6.588
_cell_angle_alpha 90.00
_cell_angle_beta 110.43
_cell_angle_gamma 90.00
_space_group_name_H-M_alt 'C 1 2/c 1'
_space_group_IT_number 15
_space_group_name_Hall '-C 2yc'
loop_
_atom_site_label
_atom_site_fract_x
_atom_site_fract_y
_atom_site_fract_z
Tb1 0.000 0.088 0.250
Er1 0.092 0.306 0.534
Er2 0.202 0.128 0.877
Th1 0.000 0.500 0.250
```

Values from the calculation:
Density (g/cm3): 9.1
M_tot (μB/atom): 0.00

x.
Compound: TbEr4Th
Source: Alexandria
Functional: PBE
Structure: optimized geometry

Geometry as CIF:
```
data_TbEr4Th
_chemical_formula_sum 'Tb2 Er8 Th2'
_cell_length_a 11.683
_cell_length_b 3.532
_cell_length_c 9.999
_cell_angle_alpha 90.00
_cell_angle_beta 115.31
_cell_angle_gamma 90.00
_space_group_name_H-M_alt 'C 1 2/m 1'
_space_group_IT_number 12
_space_group_name_Hall '-C 2y'
loop_
_atom_site_label
_atom_site_fract_x
_atom_site_fract_y
_atom_site_fract_z
Tb1 0.000 0.000 0.000
Er1 0.167 0.500 0.337
Er2 0.167 0.500 0.830
Th1 0.000 0.000 0.500
```

Values from the calculation:
Density (g/cm3): 9.4
M_tot (μB/atom): 0.00

Need the numbers? Relative energies in eV/atom: w 0.141; x 0.000.

w.
Compound: TbEr3Th
Source: Alexandria
Functional: PBE
Structure: optimized geometry

Geometry as CIF:
```
data_TbEr3Th
_chemical_formula_sum 'Tb2 Er6 Th2'
_cell_length_a 6.231
_cell_length_b 6.694
_cell_length_c 8.412
_cell_angle_alpha 103.01
_cell_angle_beta 111.62
_cell_angle_gamma 90.13
_space_group_name_H-M_alt 'P -1'
_space_group_IT_number 2
_space_group_name_Hall '-P 1'
loop_
_atom_site_label
_atom_site_fract_x
_atom_site_fract_y
_atom_site_fract_z
Tb1 0.218 0.344 0.100
Er1 0.022 0.945 0.698
Er2 0.386 0.843 0.098
Er3 0.410 0.749 0.498
Th1 0.177 0.446 0.696
```

Values from the calculation:
Density (g/cm3): 9.4
M_tot (μB/atom): 0.00

x.
Compound: TbEr3Th
Source: Alexandria
Functional: PBE
Structure: optimized geometry

Geometry as CIF:
```
data_TbEr3Th
_chemical_formula_sum 'Tb8 Er24 Th8'
_cell_length_a 8.863
_cell_length_b 14.624
_cell_length_c 10.046
_cell_angle_alpha 90.00
_cell_angle_beta 102.36
_cell_angle_gamma 90.00
_space_group_name_H-M_alt 'C 1 2/c 1'
_space_group_IT_number 15
_space_group_name_Hall '-C 2yc'
loop_
_atom_site_label
_atom_site_fract_x
_atom_site_fract_y
_atom_site_fract_z
Tb1 0.000 0.010 0.250
Tb2 0.000 0.401 0.750
Er1 0.076 0.188 0.950
Er2 0.092 0.399 0.118
Er3 0.200 0.226 0.324
Th1 0.227 0.046 0.543
```

Values from the calculation:
Density (g/cm3): 9.3
M_tot (μB/atom): 0.00

Need the numbers? Relative energies in eV/atom: w 0.000; x 0.122.

w.
Compound: Tb3Er3Th
Source: Alexandria
Functional: PBE
Structure: optimized geometry

Geometry as CIF:
```
data_Tb3Er3Th
_chemical_formula_sum 'Tb12 Er12 Th4'
_cell_length_a 8.831
_cell_length_b 9.685
_cell_length_c 10.544
_cell_angle_alpha 90.00
_cell_angle_beta 91.10
_cell_angle_gamma 90.00
_space_group_name_H-M_alt 'C 1 2/m 1'
_space_group_IT_number 12
_space_group_name_Hall '-C 2y'
loop_
_atom_site_label
_atom_site_fract_x
_atom_site_fract_y
_atom_site_fract_z
Tb1 0.029 0.000 0.253
Tb2 0.195 0.322 0.247
Er1 0.000 0.183 0.000
Er2 0.000 0.191 0.500
Er3 0.177 0.500 0.562
Th1 0.166 0.500 0.920
```

Values from the calculation:
Density (g/cm3): 8.9
M_tot (μB/atom): 0.00

x.
Compound: Tb3Er3Th
Source: Alexandria
Functional: PBE
Structure: optimized geometry

Geometry as CIF:
```
data_Tb3Er3Th
_chemical_formula_sum 'Tb6 Er6 Th2'
_cell_length_a 9.5304
_cell_length_b 9.5304
_cell_length_c 5.6623
_cell_angle_alpha 90.00
_cell_angle_beta 90.00
_cell_angle_gamma 120.00
_space_group_name_H-M_alt 'P 63/m'
_space_group_IT_number 176
_space_group_name_Hall '-P 6c'
loop_
_atom_site_label
_atom_site_fract_x
_atom_site_fract_y
_atom_site_fract_z
Tb1 0.0544 0.8119 0.2500
Er1 0.0952 0.6156 0.7500
Th1 0.3333 0.6667 0.2500
```

Values from the calculation:
Density (g/cm3): 9.0
M_tot (μB/atom): 0.00

Need the numbers? Relative energies in eV/atom: w 0.135; x 0.000.

w.
Compound: TbEr5Th2
Source: Alexandria
Functional: PBE
Structure: optimized geometry

Geometry as CIF:
```
data_TbEr5Th2
_chemical_formula_sum 'Tb4 Er20 Th8'
_cell_length_a 6.261
_cell_length_b 27.693
_cell_length_c 6.402
_cell_angle_alpha 90.00
_cell_angle_beta 109.67
_cell_angle_gamma 90.00
_space_group_name_H-M_alt 'C 1 2/c 1'
_space_group_IT_number 15
_space_group_name_Hall '-C 2yc'
loop_
_atom_site_label
_atom_site_fract_x
_atom_site_fract_y
_atom_site_fract_z
Tb1 0.000 0.017 0.250
Er1 0.000 0.401 0.750
Er2 0.211 0.110 0.608
Er3 0.239 0.193 0.994
Th1 0.000 0.500 0.000
Th2 0.250 0.250 0.500
```

Values from the calculation:
Density (g/cm3): 9.3
M_tot (μB/atom): 0.00

x.
Compound: TbEr5Th2
Source: Alexandria
Functional: PBE
Structure: optimized geometry

Geometry as CIF:
```
data_TbEr5Th2
_chemical_formula_sum 'Tb2 Er10 Th4'
_cell_length_a 3.501
_cell_length_b 11.096
_cell_length_c 13.125
_cell_angle_alpha 90.00
_cell_angle_beta 90.00
_cell_angle_gamma 90.00
_space_group_name_H-M_alt 'I m m m'
_space_group_IT_number 71
_space_group_name_Hall '-I 2 2'
loop_
_atom_site_label
_atom_site_fract_x
_atom_site_fract_y
_atom_site_fract_z
Tb1 0.000 0.000 0.000
Er1 0.000 0.232 0.369
Er2 0.000 0.500 0.000
Th1 0.000 0.500 0.259
```

Values from the calculation:
Density (g/cm3): 9.5
M_tot (μB/atom): 0.00

Need the numbers? Relative energies in eV/atom: w 0.212; x 0.000.